# 1
A relaxed LiZrSb2Te crystal. Source: the Alexandria database, functional GGA-PBE.

* crystal system: tetragonal
* offset from the most stable computed form: 0 meV/atom
* energy relative to the elements, uncorrected: -1.33 kcal/mol of atoms

Unit cell a=5.586 b=5.586 c=5.646 alpha=90.00 beta=90.00 gamma=90.00
Fractional coordinates of all 5 atoms:
1 Sb 0.000 0.500 0.000
2 Sb 0.500 0.000 0.000
3 Te 0.000 0.000 0.500
4 Li 0.500 0.500 0.500
5 Zr 0.000 0.000 0.000

=====

# 2
A relaxed SrBe2Ru2 crystal. Source: the Alexandria database, functional GGA-PBE.

* formation enthalpy at 0 K: 0.275 eV/atom
* crystal system: tetragonal
* offset from the most stable computed form: 108 meV/atom

Unit cell a=7.334 b=7.334 c=2.765 alpha=90.00 beta=90.00 gamma=90.00
Fractional coordinates of all 10 atoms:
1 Sr 0.000 0.000 0.000
2 Sr 0.500 0.500 0.000
3 Ru 0.630 0.130 0.000
4 Ru 0.370 0.870 0.000
5 Ru 0.870 0.630 0.000
6 Ru 0.130 0.370 0.000
7 Be 0.143 0.643 0.500
8 Be 0.857 0.357 0.500
9 Be 0.643 0.857 0.500
10 Be 0.357 0.143 0.500

=====

# 3
A relaxed HfBeAl2Mo crystal. Source: the Alexandria database, functional GGA-PBE.

* formation enthalpy at 0 K: 0.467 eV/atom
* crystal system: tetragonal

Unit cell a=4.203 b=4.625 c=4.203 alpha=90.00 beta=90.00 gamma=90.00
Site moments in Bohr magnetons follow the coordinates.
Fractional coordinates of all 5 atoms:
1 Be 0.000 0.000 0.000  0.00
2 Hf 0.000 0.500 0.000  -0.04
3 Al 0.000 0.000 0.500  0.00
4 Al 0.500 0.000 0.000  0.00
5 Mo 0.500 0.500 0.500  0.28

=====

# 4
A relaxed Ac2ZnAs3Rh4 crystal. Source: the Alexandria database, functional GGA-PBE.

* formation enthalpy at 0 K: -0.868 eV/atom
* crystal system: tetragonal

Unit cell a=4.355 b=4.355 c=10.316 alpha=90.00 beta=90.00 gamma=90.00
Fractional coordinates of all 10 atoms:
1 As 0.000 0.000 0.500
2 As 0.500 0.000 0.868
3 As 0.000 0.500 0.132
4 Ac 0.000 0.500 0.746
5 Ac 0.500 0.000 0.254
6 Rh 0.500 0.000 0.627
7 Rh 0.500 0.500 0.000
8 Rh 0.000 0.000 0.000
9 Rh 0.000 0.500 0.373
10 Zn 0.500 0.500 0.500

=====

# 5
A relaxed LiNpC2 crystal. Source: the Alexandria database, functional GGA-PBE.

* formation enthalpy at 0 K: 0.515 eV/atom
* crystal system: trigonal

Unit cell a=3.556 b=3.556 c=6.181 alpha=73.28 beta=73.28 gamma=60.00
Fractional coordinates of all 4 atoms:
1 Np 0.500 0.500 0.500
2 Li 0.000 0.000 0.000
3 C 0.117 0.117 0.648
4 C 0.883 0.883 0.352

=====

# 6
A relaxed NaPr2ThS4 crystal. Source: the Alexandria database, functional GGA-PBE.

* crystal system: monoclinic
* energy relative to the elements, uncorrected: -42.55 kcal/mol of atoms

Unit cell a=4.065 b=7.054 c=7.060 alpha=70.96 beta=90.00 gamma=90.00
Fractional coordinates of all 8 atoms:
1 S 0.500 0.259 0.750
2 S 0.000 0.744 0.749
3 S 0.000 0.256 0.251
4 S 0.500 0.741 0.250
5 Th 0.000 0.500 0.500
6 Pr 0.500 0.000 0.500
7 Pr 0.000 0.000 0.000
8 Na 0.500 0.500 0.000

=====

# 7
A relaxed Cs2K5InHg2 crystal. Source: the Alexandria database, functional GGA-PBE.

* formation enthalpy at 0 K: -0.080 eV/atom
* crystal system: tetragonal

Unit cell a=5.053 b=14.589 c=14.589 alpha=90.00 beta=90.00 gamma=90.00
Fractional coordinates of all 20 atoms:
1 K 0.500 0.438 0.306
2 K 0.500 0.306 0.562
3 K 0.500 0.806 0.938
4 K 0.500 0.938 0.194
5 K 0.500 0.500 0.000
6 K 0.500 0.194 0.062
7 K 0.500 0.062 0.806
8 K 0.500 0.562 0.694
9 K 0.500 0.694 0.438
10 K 0.500 0.000 0.500
11 Cs 0.000 0.676 0.176
12 Cs 0.000 0.176 0.324
13 Cs 0.000 0.324 0.824
14 Cs 0.000 0.824 0.676
15 Hg 0.000 0.130 0.630
16 Hg 0.000 0.870 0.370
17 Hg 0.000 0.630 0.870
18 Hg 0.000 0.370 0.130
19 In 0.000 0.000 0.000
20 In 0.000 0.500 0.500

=====

# 8
A relaxed Pr2DyZn6 crystal. Source: the Alexandria database, functional GGA-PBE.

* formation enthalpy at 0 K: -0.348 eV/atom
* crystal system: hexagonal

Unit cell a=3.597 b=7.905 c=7.905 alpha=120.00 beta=90.00 gamma=90.00
Fractional coordinates of all 9 atoms:
1 Pr 0.000 0.667 0.333
2 Pr 0.000 0.333 0.667
3 Zn 0.500 0.329 0.000
4 Zn 0.500 0.000 0.671
5 Zn 0.500 0.000 0.329
6 Zn 0.500 0.671 0.671
7 Zn 0.500 0.329 0.329
8 Zn 0.500 0.671 0.000
9 Dy 0.000 0.000 0.000